Below is a relaxed structure of Be2AsH2, with properties calculated at the GGA-PBE level.

Calculated values
* total DFT energy (no corrections): -3.57 eV per atom
* calculated volume: 108.8 Å³ per cell
* total magnetic moment: 0.00 μB/f.u.

CIF file:
```
data_Be2AsH2
_chemical_formula_sum 'Be4 As2 H4'
_cell_length_a 5.311
_cell_length_b 5.311
_cell_length_c 5.036
_cell_angle_alpha 116.07
_cell_angle_beta 116.07
_cell_angle_gamma 93.45
_symmetry_space_group_name_H-M 'P 1'
_symmetry_Int_Tables_number 1
loop_
_symmetry_equiv_pos_as_xyz
'x,y,z'
loop_
_atom_site_label
_atom_site_type_symbol
_atom_site_fract_x
_atom_site_fract_y
_atom_site_fract_z
_atom_site_occupancy
Be1 Be 0.120 0.321 0.147 1
Be2 Be 0.321 0.120 0.647 1
Be3 Be 0.679 0.880 0.353 1
Be4 Be 0.880 0.679 0.853 1
As1 As 0.417 0.583 0.750 1
As2 As 0.583 0.417 0.250 1
H1 H 0.000 0.000 0.000 1
H2 H 0.000 0.000 0.500 1
H3 H 0.000 0.500 0.000 1
H4 H 0.500 0.000 0.500 1
```

***

Below is a relaxed structure of BeNi3Pt, with properties calculated at the GGA-PBE level.

Calculated values
* formation energy from the elements: 1441 meV/atom
* total DFT energy (no corrections): -3.98 eV per atom
* calculated volume: 95.4 Å³ per cell
* total magnetic moment: 2.79 μB/f.u.

CIF file:
```
data_BeNi3Pt
_chemical_formula_sum 'Be1 Ni3 Pt1'
_cell_length_a 4.570
_cell_length_b 4.570
_cell_length_c 4.570
_cell_angle_alpha 90.00
_cell_angle_beta 90.00
_cell_angle_gamma 90.00
_symmetry_space_group_name_H-M 'P 1'
_symmetry_Int_Tables_number 1
loop_
_symmetry_equiv_pos_as_xyz
'x,y,z'
loop_
_atom_site_label
_atom_site_type_symbol
_atom_site_fract_x
_atom_site_fract_y
_atom_site_fract_z
_atom_site_occupancy
Be1 Be 0.000 0.000 0.000 1
Ni1 Ni 0.000 0.500 0.500 1
Ni2 Ni 0.500 0.000 0.500 1
Ni3 Ni 0.500 0.500 0.000 1
Pt1 Pt 0.500 0.500 0.500 1
```

***

Below is a relaxed structure of AcSn7, with properties calculated at the GGA-PBE level.

Calculated values
* formation energy from the elements: -172 meV/atom
* total DFT energy (no corrections): -4.19 eV per atom
* calculated volume: 232.0 Å³ per cell
* total magnetic moment: 0.00 μB/f.u.

CIF file:
```
data_AcSn7
_chemical_formula_sum 'Ac1 Sn7'
_cell_length_a 6.898
_cell_length_b 6.898
_cell_length_c 6.898
_cell_angle_alpha 60.00
_cell_angle_beta 60.00
_cell_angle_gamma 60.00
_symmetry_space_group_name_H-M 'P 1'
_symmetry_Int_Tables_number 1
loop_
_symmetry_equiv_pos_as_xyz
'x,y,z'
loop_
_atom_site_label
_atom_site_type_symbol
_atom_site_fract_x
_atom_site_fract_y
_atom_site_fract_z
_atom_site_occupancy
Ac1 Ac 0.000 0.000 0.000 1
Sn1 Sn 0.000 0.000 0.500 1
Sn2 Sn 0.000 0.500 0.000 1
Sn3 Sn 0.000 0.500 0.500 1
Sn4 Sn 0.500 0.000 0.000 1
Sn5 Sn 0.500 0.000 0.500 1
Sn6 Sn 0.500 0.500 0.000 1
Sn7 Sn 0.500 0.500 0.500 1
```

***

Below is a relaxed structure of Rb3VSe4, with properties calculated at the GGA-PBE level.

Calculated values
* total DFT energy (no corrections): -4.33 eV per atom
* calculated volume: 1139.9 Å³ per cell
* ΔE_f (raw): -1.08 eV per atom
* total magnetic moment: 0.00 μB/f.u.

CIF file:
```
data_Rb3VSe4
_chemical_formula_sum 'Rb12 V4 Se16'
_cell_length_a 9.924
_cell_length_b 11.538
_cell_length_c 9.955
_cell_angle_alpha 90.00
_cell_angle_beta 90.00
_cell_angle_gamma 90.00
_symmetry_space_group_name_H-M 'P 1'
_symmetry_Int_Tables_number 1
loop_
_symmetry_equiv_pos_as_xyz
'x,y,z'
loop_
_atom_site_label
_atom_site_type_symbol
_atom_site_fract_x
_atom_site_fract_y
_atom_site_fract_z
_atom_site_occupancy
Rb1 Rb 0.049 0.045 0.206 1
Rb2 Rb 0.049 0.455 0.206 1
Rb3 Rb 0.141 0.750 0.413 1
Rb4 Rb 0.359 0.250 0.913 1
Rb5 Rb 0.451 0.545 0.706 1
Rb6 Rb 0.451 0.955 0.706 1
Rb7 Rb 0.549 0.045 0.294 1
Rb8 Rb 0.549 0.455 0.294 1
Rb9 Rb 0.641 0.750 0.087 1
Rb10 Rb 0.859 0.250 0.587 1
Rb11 Rb 0.951 0.545 0.794 1
Rb12 Rb 0.951 0.955 0.794 1
V1 V 0.219 0.750 0.984 1
V2 V 0.281 0.250 0.484 1
V3 V 0.719 0.750 0.516 1
V4 V 0.781 0.250 0.016 1
Se1 Se 0.006 0.750 0.076 1
Se2 Se 0.168 0.086 0.550 1
Se3 Se 0.168 0.414 0.550 1
Se4 Se 0.203 0.750 0.754 1
Se5 Se 0.297 0.250 0.254 1
Se6 Se 0.332 0.586 0.050 1
Se7 Se 0.332 0.914 0.050 1
Se8 Se 0.494 0.250 0.576 1
Se9 Se 0.506 0.750 0.424 1
Se10 Se 0.668 0.086 0.950 1
Se11 Se 0.668 0.414 0.950 1
Se12 Se 0.703 0.750 0.746 1
Se13 Se 0.797 0.250 0.246 1
Se14 Se 0.832 0.586 0.450 1
Se15 Se 0.832 0.914 0.450 1
Se16 Se 0.994 0.250 0.924 1
```

***

Below is a relaxed structure of NaPPt3, with properties calculated at the GGA-PBE level.

Calculated values
* formation energy from the elements: -512 meV/atom
* total DFT energy (no corrections): -5.48 eV per atom
* E above lowest polymorph: 0.0000 eV per atom
* calculated volume: 87.0 Å³ per cell
* total magnetic moment: 0.00 μB/f.u.

CIF file:
```
data_NaPPt3
_chemical_formula_sum 'Na1 P1 Pt3'
_cell_length_a 6.071
_cell_length_b 6.071
_cell_length_c 6.071
_cell_angle_alpha 141.26
_cell_angle_beta 141.26
_cell_angle_gamma 55.95
_symmetry_space_group_name_H-M 'P 1'
_symmetry_Int_Tables_number 1
loop_
_symmetry_equiv_pos_as_xyz
'x,y,z'
loop_
_atom_site_label
_atom_site_type_symbol
_atom_site_fract_x
_atom_site_fract_y
_atom_site_fract_z
_atom_site_occupancy
Na1 Na 0.000 0.000 0.000 1
P1 P 0.630 0.630 0.000 1
Pt1 Pt 0.243 0.743 0.500 1
Pt2 Pt 0.426 0.426 0.000 1
Pt3 Pt 0.743 0.243 0.500 1
```

***

Below is a relaxed structure of AlAs2P, with properties calculated at the GGA-PBE level.

Calculated values
* formation energy from the elements: 189 meV/atom
* total DFT energy (no corrections): -4.42 eV per atom
* E above lowest polymorph: 0.2674 eV per atom
* calculated volume: 73.5 Å³ per cell
* total magnetic moment: 0.00 μB/f.u.

CIF file:
```
data_AlAs2P
_chemical_formula_sum 'Al1 As2 P1'
_cell_length_a 6.193
_cell_length_b 6.193
_cell_length_c 6.193
_cell_angle_alpha 146.19
_cell_angle_beta 146.06
_cell_angle_gamma 48.66
_symmetry_space_group_name_H-M 'P 1'
_symmetry_Int_Tables_number 1
loop_
_symmetry_equiv_pos_as_xyz
'x,y,z'
loop_
_atom_site_label
_atom_site_type_symbol
_atom_site_fract_x
_atom_site_fract_y
_atom_site_fract_z
_atom_site_occupancy
Al1 Al 0.000 0.000 0.000 1
As1 As 0.189 0.689 0.500 1
As2 As 0.811 0.311 0.500 1
P1 P 0.500 0.500 0.000 1
```